No. 1
! Co2AsBr (PBE, relaxed); values from VASP
! relative energy among the computed polymorphs = 30.0 kJ/mol of atoms
! total DFT energy (no corrections) = -19.0 eV/cell
! energy relative to the elements, uncorrected = 0.387 eV per atom
! space group = Cmmm (65)
&SYSTEM
  ibrav = 0, nat = 4, ntyp = 3
/
ATOMIC_SPECIES
Br 79.90 Br.upf
Co 58.93 Co.upf
As 74.92 As.upf
CELL_PARAMETERS angstrom
3.195 0.007 0.000
-1.004 3.034 0.000
0.000 0.000 6.598
ATOMIC_POSITIONS crystal
Br 0.500 0.500 0.750
Co 0.000 0.000 0.450
As 0.500 0.500 0.250
Co 0.000 0.000 0.050



No. 2
! Co2AsBr (PBE, relaxed); values from VASP
! relative energy among the computed polymorphs = 42.3 kJ/mol of atoms
! total DFT energy (no corrections) = -18.5 eV/cell
! energy relative to the elements, uncorrected = 0.514 eV per atom
! space group = Immm (71)
&SYSTEM
  ibrav = 0, nat = 4, ntyp = 3
/
ATOMIC_SPECIES
Br 79.90 Br.upf
As 74.92 As.upf
Co 58.93 Co.upf
CELL_PARAMETERS angstrom
4.976 -0.092 0.107
-0.327 4.966 -0.107
-0.945 -3.753 3.131
ATOMIC_POSITIONS crystal
Br 0.250 0.750 0.500
As 0.750 0.250 0.500
Co 0.547 0.547 0.000
Co 0.953 0.953 0.000



No. 3
! Co2AsBr (PBE, relaxed); values from VASP
! relative energy among the computed polymorphs = 5.8 kJ/mol of atoms
! total DFT energy (no corrections) = -20.0 eV/cell
! energy relative to the elements, uncorrected = 0.136 eV per atom
! space group = Cm (8)
&SYSTEM
  ibrav = 0, nat = 4, ntyp = 3
/
ATOMIC_SPECIES
Co 58.93 Co.upf
As 74.92 As.upf
Br 79.90 Br.upf
CELL_PARAMETERS angstrom
-2.740 -2.026 -1.428
0.026 -3.678 0.345
-4.281 -1.414 5.361
ATOMIC_POSITIONS crystal
Co 0.746 0.746 0.771
Co 0.028 0.028 0.922
As 0.455 0.455 0.650
Br 0.272 0.272 0.157



No. 4
! CrCoAsBr2 (PBE, relaxed); values from VASP
! relative energy among the computed polymorphs = 20.7 kJ/mol of atoms
! total DFT energy (no corrections) = -21.3 eV/cell
! energy relative to the elements, uncorrected = 0.678 eV per atom
! space group = P4/mmm (123)
&SYSTEM
  ibrav = 0, nat = 5, ntyp = 4
/
ATOMIC_SPECIES
Br 79.90 Br.upf
Co 58.93 Co.upf
As 74.92 As.upf
Cr 52.00 Cr.upf
CELL_PARAMETERS angstrom
5.045 0.000 0.000
0.000 5.045 0.000
0.000 0.000 4.892
ATOMIC_POSITIONS crystal
Br 0.500 0.000 0.000
Co 0.500 0.500 0.500
Br 0.000 0.500 0.000
As 0.000 0.000 0.500
Cr 0.000 0.000 0.000



No. 5
! CrCoAsBr2 (PBE, relaxed); values from VASP
! relative energy among the computed polymorphs = 0.0 kJ/mol of atoms
! total DFT energy (no corrections) = -22.4 eV/cell
! energy relative to the elements, uncorrected = 0.464 eV per atom
! space group = P4/mmm (123)
&SYSTEM
  ibrav = 0, nat = 5, ntyp = 4
/
ATOMIC_SPECIES
Co 58.93 Co.upf
As 74.92 As.upf
Br 79.90 Br.upf
Cr 52.00 Cr.upf
CELL_PARAMETERS angstrom
-4.911 1.192 -0.751
-1.347 -4.771 1.236
-0.356 1.195 4.223
ATOMIC_POSITIONS crystal
Co 0.000 0.000 0.000
As 0.000 0.000 0.500
Br 0.500 0.000 0.000
Cr 0.500 0.500 0.500
Br 0.000 0.500 0.000



No. 6
! CoCuAsBr2 (PBE, relaxed); values from VASP
! relative energy among the computed polymorphs = 0.0 kJ/mol of atoms
! total DFT energy (no corrections) = -16.7 eV/cell
! energy relative to the elements, uncorrected = 0.490 eV per atom
! space group = P4/mmm (123)
&SYSTEM
  ibrav = 0, nat = 5, ntyp = 4
/
ATOMIC_SPECIES
As 74.92 As.upf
Co 58.93 Co.upf
Br 79.90 Br.upf
Cu 63.55 Cu.upf
CELL_PARAMETERS angstrom
-0.589 -0.069 -5.039
-3.037 -4.043 0.410
-3.461 2.637 0.368
ATOMIC_POSITIONS crystal
As 0.000 0.000 0.500
Co 0.000 0.000 0.000
Br 0.000 0.500 0.000
Br 0.500 0.000 0.000
Cu 0.500 0.500 0.500